Entry from Alexandria: crystalline CrAgSbTe2 at its relaxed geometry (PBE-GGA).

Cell lengths 5.415, 5.415, 5.251 Å; angles 90.00, 90.00, 90.00 degrees
Site moments in Bohr magnetons follow the coordinates.
Positions (direct):
Sb 0.000 0.000 0.500  -0.02
Te 0.000 0.500 0.000  0.03
Te 0.500 0.000 0.000  0.03
Ag 0.000 0.000 0.000  0.00
Cr 0.500 0.500 0.500  0.12

Total DFT energy (no corrections) in eV per atom: -3.218
Formation energy from raw total energies in kJ per mole of atoms: 131.0
Energy above the most stable polymorph in this dataset in meV per atom: 882

Entry from Alexandria: crystalline Zn2TePt at its relaxed geometry (PBE-GGA).

Cell lengths 3.225, 3.746, 6.792 Å; angles 63.19, 90.00, 90.00 degrees
Positions (direct):
Pt 0.500 0.250 0.250
Te 0.500 0.750 0.750
Zn 0.000 0.950 0.044
Zn 0.000 0.550 0.456

Total DFT energy (no corrections) in eV per atom: -3.001
Formation energy from raw total energies in kJ per mole of atoms: -6.6

Entry from Alexandria: crystalline CuHgO3 at its relaxed geometry (PBE-GGA).

Cell lengths 4.102, 4.102, 4.102 Å; angles 90.00, 90.00, 90.00 degrees
Site moments in Bohr magnetons follow the coordinates.
Positions (direct):
O 0.000 0.500 0.000  -0.24
O 0.000 0.000 0.500  -0.09
O 0.500 0.000 0.000  -0.24
Hg 0.000 0.000 0.000  -0.01
Cu 0.500 0.500 0.500  -0.32

Total DFT energy (no corrections) in eV per atom: -3.034
Formation energy from raw total energies in kJ per mole of atoms: 79.2

Entry from Alexandria: crystalline NpTl2F6 at its relaxed geometry (PBE-GGA).

Cell lengths 5.903, 5.903, 12.340 Å; angles 90.00, 90.00, 90.00 degrees
Site moments in Bohr magnetons follow the coordinates.
Positions (direct):
Np 0.500 0.500 0.000  3.08
Np 0.000 0.000 0.500  3.08
Tl 0.500 0.500 0.337  0.00
Tl 0.500 0.500 0.663  0.00
Tl 0.000 0.000 0.163  0.00
Tl 0.000 0.000 0.837  0.00
F 0.677 0.677 0.129  -0.02
F 0.677 0.677 0.871  -0.02
F 0.738 0.738 0.500  -0.02
F 0.762 0.238 0.000  -0.02
F 0.823 0.177 0.371  -0.02
F 0.823 0.177 0.629  -0.02
F 0.177 0.823 0.371  -0.02
F 0.177 0.823 0.629  -0.02
F 0.238 0.762 0.000  -0.02
F 0.262 0.262 0.500  -0.02
F 0.323 0.323 0.129  -0.02
F 0.323 0.323 0.871  -0.02

Total DFT energy (no corrections) in eV per atom: -5.990
Formation energy from raw total energies in kJ per mole of atoms: -268.1

Entry from Alexandria: crystalline Mg2MoPt at its relaxed geometry (PBE-GGA).

Cell lengths 4.491, 2.793, 5.364 Å; angles 80.68, 90.00, 90.00 degrees
Positions (direct):
Mg 0.000 0.957 0.997
Mg 0.000 0.543 0.503
Mo 0.500 0.250 0.250
Pt 0.500 0.750 0.750

Total DFT energy (no corrections) in eV per atom: -5.072
Energy above the most stable polymorph in this dataset in meV per atom: 149

Entry from Alexandria: crystalline YLuPd at its relaxed geometry (PBE-GGA).

Cell lengths 3.509, 3.509, 6.554 Å; angles 105.53, 105.53, 90.00 degrees
Positions (direct):
Y 0.024 0.024 0.049
Lu 0.302 0.302 0.603
Pd 0.674 0.674 0.348

Total DFT energy (no corrections) in eV per atom: -5.974
Energy above the most stable polymorph in this dataset in meV per atom: 0